(1)
Li4NbCu3O8 after structural relaxation. Source: Alexandria, functional PBE.

Computed properties:
- E_form (uncorrected) (eV/atom) = -1.5073
- magnetic moment (μB/cell) = 4.054
- raw total energy (eV/atom) = -5.8622
- Fermi-level density of states (states/eV per cell) = 9.3

abc: 11.2707 5.6454 5.7760
angles: 90.00 118.99 90.00
Closest atoms and distances in Å follow each position.
Space group C2/m (No. 12)
Asymmetric unit:
Li (0.0000, 0.0000, 0.0000) (multiplicity 2)  6 O 2.09-2.31
Li (0.0000, 0.5000, 0.0000) (multiplicity 2)  4 O 2.08
Li (0.2500, 0.2500, 0.5000) (multiplicity 4)  6 O 2.15-2.21
Nb (0.0000, 0.0000, 0.5000) (multiplicity 2)  6 O 1.99-2.12
Cu (0.0000, 0.5000, 0.5000) (multiplicity 2)  4 O 1.98
Cu (0.2500, 0.2500, 0.0000) (multiplicity 4)  4 O 1.90-1.95
O (0.0255, 0.2514, 0.2856) (multiplicity 8)  1 Cu 1.98, 1 Nb 1.99, 3 Li 2.08-2.21
O (0.2142, 0.0000, 0.7407) (multiplicity 4)  2 Cu 1.95, 1 Nb 2.12, 2 Li 2.15
O (0.2341, 0.0000, 0.2039) (multiplicity 4)  2 Cu 1.90

=====

(2)
Ac2TmSn3Rh4 after structural relaxation. Source: Alexandria, functional PBE.

Computed properties:
- magnetic moment (μB/cell) = 0.000
- raw total energy (eV/atom) = -6.2025
- DFT formation energy (kcal/mol of atoms) = -18.27
- Fermi-level density of states (states/eV per cell) = 7.2

abc: 4.5054 4.5054 11.5005
angles: 90.00 90.00 90.00
Closest atoms and distances in Å follow each position.
Space group P-4m2 (No. 115)
Asymmetric unit:
Ac (0.0000, 0.5000, 0.2390) (multiplicity 2)  6 Sn 3.45-3.75, 8 Rh 3.46-3.55, 2 Tm 3.75
Tm (0.0000, 0.0000, 0.5000) (multiplicity 1)  4 Rh 2.79
Sn (0.0000, 0.5000, 0.8766) (multiplicity 2)  5 Rh 2.66-2.68
Sn (0.5000, 0.5000, 0.5000) (multiplicity 1)  4 Rh 2.79
Rh (0.0000, 0.0000, 0.0000) (multiplicity 1)  4 Sn 2.66
Rh (0.0000, 0.5000, 0.6435) (multiplicity 2)  3 Sn 2.68-2.79, 2 Tm 2.79
Rh (0.5000, 0.5000, 0.0000) (multiplicity 1)  4 Sn 2.66

=====

(3)
LiSm3Th2Se6 after structural relaxation. Source: Alexandria, functional PBE.

Computed properties:
- E_form (uncorrected) (eV/atom) = -1.6771
- magnetic moment (μB/cell) = 0.000
- raw total energy (eV/atom) = -5.9953
- Fermi-level density of states (states/eV per cell) = 10.0

abc: 7.1816 12.5462 7.1694
angles: 90.00 109.91 90.00
Closest atoms and distances in Å follow each position.
Space group C2/m (No. 12)
Asymmetric unit:
Li (0.0000, 0.0000, 0.0000) (multiplicity 2)  6 Se 2.82
Sm (0.0000, 0.1701, 0.5000) (multiplicity 4)  6 Se 2.92-3.02
Sm (0.0000, 0.5000, 0.5000) (multiplicity 2)  6 Se 2.92-3.05
Th (0.0000, 0.3339, 0.0000) (multiplicity 4)  6 Se 2.96
Se (0.2361, 0.0000, 0.7553) (multiplicity 4)  1 Li 2.82, 3 Sm 2.94-3.05, 2 Th 2.96
Se (0.2397, 0.1592, 0.2433) (multiplicity 8)  1 Li 2.82, 3 Sm 2.92-3.02, 2 Th 2.96

=====

(4)
AlH2Cl6 after structural relaxation. Source: Alexandria, functional PBE.

Computed properties:
- magnetic moment (μB/cell) = 3.866
- relative energy among the computed polymorphs (kJ/mol of atoms) = 0.8
- raw total energy (eV/atom) = -3.2092

abc: 14.4250 12.5389 5.9827
angles: 90.00 100.24 90.00
Closest atoms and distances in Å follow each position.
Space group C2/c (No. 15)
Asymmetric unit:
Al (0.0000, 0.0666, 0.2500) (multiplicity 4)  6 Cl 2.30-2.36
H (0.1442, 0.4769, 0.8530) (multiplicity 8)  1 Cl 1.30
Cl (0.0777, 0.2174, 0.1630) (multiplicity 8)  1 Al 2.30
Cl (0.0960, 0.0549, 0.6115) (multiplicity 8)  2 Al 2.31-2.36
Cl (0.1442, 0.4139, 0.6798) (multiplicity 8)  1 H 1.30

=====

(5)
DyNpGa6 after structural relaxation. Source: Alexandria, functional PBE.

Computed properties:
- magnetic moment (μB/cell) = 3.778
- raw total energy (eV/atom) = -4.8381
- DFT formation energy (kcal/mol of atoms) = -8.65
- Fermi-level density of states (states/eV per cell) = 9.1

abc: 4.2580 4.2580 8.5572
angles: 90.00 90.00 90.00
Closest atoms and distances in Å follow each position.
Space group P4/mmm (No. 123)
Asymmetric unit:
Dy (0.0000, 0.0000, 0.0000) (multiplicity 1)  12 Ga 3.01-3.03
Np (0.0000, 0.0000, 0.5000) (multiplicity 1)  12 Ga 3.00-3.01
Ga (0.0000, 0.5000, 0.2522) (multiplicity 4)  2 Np 3.00, 8 Ga 3.00-3.03, 2 Dy 3.03
Ga (0.5000, 0.5000, 0.0000) (multiplicity 1)  4 Dy 3.01, 8 Ga 3.03
Ga (0.5000, 0.5000, 0.5000) (multiplicity 1)  8 Ga 3.00, 4 Np 3.01

=====

(6)
NaPdI after structural relaxation. Source: Alexandria, functional PBE.

Computed properties:
- E_form (uncorrected) (eV/atom) = -0.4562
- magnetic moment (μB/cell) = 0.000
- relative energy among the computed polymorphs (kJ/mol of atoms) = 7.1
- raw total energy (eV/atom) = -3.1435
- Fermi-level density of states (states/eV per cell) = 0.0

abc: 6.3444 6.5645 7.4635
angles: 90.00 95.38 90.00
Closest atoms and distances in Å follow each position.
Space group Cm (No. 8)
Asymmetric unit:
Na (0.0000, 0.0000, 0.0000) (multiplicity 2)  2 Pd 2.89, 2 I 3.06-3.16
Na (0.0670, 0.5000, 0.4130) (multiplicity 2)  2 Pd 2.95, 4 I 3.11-3.28
Pd (0.1820, 0.2329, 0.7239) (multiplicity 4)  3 I 2.69-2.99, 2 Na 2.89-2.95
I (0.0162, 0.5000, 0.9457) (multiplicity 2)  4 Pd 2.69-2.99
I (0.0781, 0.0000, 0.4240) (multiplicity 2)  2 Pd 2.74

=====

(7)
LaAsSe2 after structural relaxation. Source: Alexandria, functional PBE.

Computed properties:
- E_form (uncorrected) (eV/atom) = -0.9418
- magnetic moment (μB/cell) = 0.000
- raw total energy (eV/atom) = -5.0783
- Fermi-level density of states (states/eV per cell) = 1.1

abc: 4.1219 4.1219 6.1558
angles: 90.00 90.00 90.00
Closest atoms and distances in Å follow each position.
Space group P4mm (No. 99)
Asymmetric unit:
La (0.0000, 0.0000, 0.0000) (multiplicity 1)  5 Se 2.88-3.01
As (0.5000, 0.5000, 0.5807) (multiplicity 1)  5 Se 2.82-2.93
Se (0.0000, 0.0000, 0.5325) (multiplicity 1)  1 La 2.88, 4 As 2.93
Se (0.5000, 0.5000, 0.1224) (multiplicity 1)  1 As 2.82, 4 La 3.01

=====

(8)
DyLu2Se after structural relaxation. Source: Alexandria, functional PBE.

Computed properties:
- E_form (uncorrected) (eV/atom) = -0.4761
- magnetic moment (μB/cell) = 0.810
- raw total energy (eV/atom) = -4.7583
- Fermi-level density of states (states/eV per cell) = 18.5

abc: 3.6079 3.6079 31.0431
angles: 90.00 90.00 120.00
Closest atoms and distances in Å follow each position.
Space group R-3m (No. 166, hexagonal axes)
Asymmetric unit:
Dy (0.0000, 0.0000, 0.0000) (multiplicity 3)  2 Lu 3.35, 6 Dy 3.61
Lu (0.0000, 0.0000, 0.1078) (multiplicity 6)  3 Se 2.77
Se (0.0000, 0.0000, 0.5000) (multiplicity 3)  6 Lu 2.77